No. 1
GaHgSb2P, optimized geometry, DFT PBE-GGA; density of states at the Fermi level = 5.52 states/eV per cell; calculated density = 5.7 g cm⁻³; E_tot = -12.37 eV/f.u.
1.0
5.639 0.000 0.000
0.000 5.639 0.000
0.000 0.000 4.977
Ga Hg Sb P
1 1 2 1
Cartesian
0.000 0.000 0.000 Ga
2.820 2.820 2.488 Hg
0.000 2.820 2.488 Sb
2.820 0.000 2.488 Sb
2.820 2.820 0.000 P

***

No. 2
CrReAg, optimized geometry, DFT PBE-GGA; DFT formation energy = 58 kJ/mol of atoms; density of states at the Fermi level = 2.05 states/eV per cell; calculated density = 13.1 g cm⁻³
1.0
-1.302 2.062 4.094
1.302 -2.062 4.094
1.302 2.062 -4.094
Cr Re Ag
1 1 1
Cartesian
0.000 0.000 0.000 Cr
0.000 0.000 5.427 Re
0.000 0.000 2.721 Ag

***

No. 3
BaBe2Cd, optimized geometry, DFT PBE-GGA; DFT formation energy = 42 kJ/mol of atoms; density of states at the Fermi level = 1.74 states/eV per cell; calculated density = 4.5 g cm⁻³
1.0
-2.092 2.923 4.034
2.092 -2.923 4.034
2.092 2.923 -4.034
Ba Be Cd
1 2 1
Cartesian
0.000 0.000 0.000 Ba
2.092 0.000 2.801 Be
0.000 0.000 3.189 Be
0.000 2.923 1.359 Cd

***

No. 4
Sm6MgGe2, optimized geometry, DFT PBE-GGA; DFT formation energy = -41 kJ/mol of atoms; density of states at the Fermi level = 16.51 states/eV per cell; calculated density = 6.8 g cm⁻³
1.0
-4.972 4.992 5.288
4.972 -4.992 5.288
4.972 4.992 -5.288
Sm Mg Ge
12 2 4
Cartesian
4.972 2.981 -2.657 Sm
2.975 0.000 1.838 Sm
6.969 0.000 1.838 Sm
2.240 3.217 0.000 Sm
2.732 -1.775 5.288 Sm
0.000 2.011 2.630 Sm
4.972 2.981 2.657 Sm
2.240 6.767 0.000 Sm
2.732 1.775 5.288 Sm
-1.997 4.992 3.449 Sm
1.997 4.992 3.449 Sm
0.000 2.011 7.945 Sm
0.000 0.000 0.000 Mg
0.000 0.000 5.288 Mg
4.972 1.610 0.000 Ge
4.972 0.000 4.016 Ge
0.000 4.992 1.272 Ge
0.000 3.382 5.288 Ge

***

No. 5
CePrZnAu, optimized geometry, DFT PBE-GGA; DFT formation energy = -40 kJ/mol of atoms; density of states at the Fermi level = 9.71 states/eV per cell; calculated density = 8.8 g cm⁻³
1.0
0.000 3.709 3.709
3.709 0.000 3.709
3.709 3.709 0.000
Ce Pr Zn Au
1 1 1 1
Cartesian
0.000 0.000 0.000 Ce
3.709 3.709 3.709 Pr
1.854 1.854 1.854 Zn
5.563 5.563 5.563 Au

***

No. 6
LaCe3, optimized geometry, DFT PBE-GGA; DFT formation energy = 10 kJ/mol of atoms; density of states at the Fermi level = 10.48 states/eV per cell; calculated density = 8.2 g cm⁻³
1.0
3.314 0.000 0.000
0.000 5.425 0.000
0.000 0.000 6.295
La Ce
1 3
Cartesian
0.000 0.000 0.000 La
0.000 2.713 1.493 Ce
1.657 0.000 3.157 Ce
1.657 2.713 4.378 Ce

***

No. 7
Nd4BiTe2P, optimized geometry, DFT PBE-GGA; density of states at the Fermi level = 4.17 states/eV per cell; calculated density = 7.1 g cm⁻³; E_tot = -45.52 eV/f.u.
1.0
7.751 0.000 0.000
0.000 4.406 0.000
-2.525 0.000 7.328
Nd Bi Te P
4 1 2 1
Cartesian
1.160 0.000 1.625 Nd
-0.128 2.203 5.621 Nd
5.353 2.203 1.706 Nd
4.065 0.000 5.702 Nd
3.875 0.000 0.000 Bi
-1.263 0.000 3.664 Te
2.613 2.203 3.664 Te
0.000 2.203 0.000 P

***

No. 8
Hg2AsAu, optimized geometry, DFT PBE-GGA; DFT formation energy = 12 kJ/mol of atoms; density of states at the Fermi level = 1.67 states/eV per cell; calculated density = 10.7 g cm⁻³
1.0
3.665 0.000 0.000
0.000 3.665 0.000
0.000 0.000 7.803
Hg As Au
2 1 1
Cartesian
0.000 0.000 0.000 Hg
1.832 1.832 1.701 Hg
0.000 0.000 5.099 As
1.832 1.832 4.554 Au